Entry 1:
Crystalline Ba12Hg6H at its relaxed geometry. Source: Alexandria, functional PBE-GGA.

- total energy (eV per formula unit) = -33.3
- density of states at the Fermi level (states/eV/atom) = 1.48

a = 9.7344 Å, b = 9.7344 Å, c = 9.7344 Å
α = 98.14°, β = 98.14°, γ = 98.14°
Fractional positions:
Ba 0.8172 0.5759 0.4315
Ba 0.4315 0.8172 0.5759
Ba 0.5759 0.4315 0.8172
Ba 0.1828 0.4241 0.5685
Ba 0.5685 0.1828 0.4241
Ba 0.4241 0.5685 0.1828
Ba 0.0720 0.9804 0.3113
Ba 0.0196 0.6887 0.9280
Ba 0.6887 0.9280 0.0196
Ba 0.9280 0.0196 0.6887
Ba 0.9804 0.3113 0.0720
Ba 0.3113 0.0720 0.9804
Hg 0.7062 0.8751 0.3620
Hg 0.6380 0.2938 0.1249
Hg 0.1249 0.6380 0.2938
Hg 0.2938 0.1249 0.6380
Hg 0.3620 0.7062 0.8751
Hg 0.8751 0.3620 0.7062
H 0.0000 0.0000 0.0000

***

Entry 2:
Crystalline Ba2HgH2 at its relaxed geometry. Source: Alexandria, functional PBE-GGA.

- density of states at the Fermi level (states/eV/atom) = 0.69
- polymorph energy (0 for the lowest one) (meV per atom) = 0.0

a = 4.3238 Å, b = 4.3238 Å, c = 7.9887 Å
α = 74.30°, β = 74.30°, γ = 90.00°
Fractional positions:
H 0.7500 0.2500 0.5000
H 0.2500 0.7500 0.5000
Hg 0.0000 0.0000 0.0000
Ba 0.3511 0.3511 0.2979
Ba 0.6489 0.6489 0.7021